Material: Mg3FeSe
Method: DFT, PBE
State: relaxed

## Properties
**Distance to the lowest polymorph of the same formula**: 0.30 eV/f.u.
**Calculated volume**: 112.5 Å³ per cell
**DOS at the Fermi energy**: 5.73 states/eV per cell
**Formation energy from raw total energies**: 2.8 eV per formula unit

The structure in CIF format:
```
data_Mg3FeSe
_chemical_formula_sum 'Mg3 Fe1 Se1'
_cell_length_a 4.828
_cell_length_b 4.828
_cell_length_c 4.828
_cell_angle_alpha 90.00
_cell_angle_beta 90.00
_cell_angle_gamma 90.00
_space_group_name_H-M_alt 'P m -3 m'
_space_group_IT_number 221
_space_group_name_Hall '-P 4 2 3'
loop_
_atom_site_label
_atom_site_fract_x
_atom_site_fract_y
_atom_site_fract_z
Mg1 0.000 0.000 0.500
Fe1 0.000 0.000 0.000
Se1 0.500 0.500 0.500
```

Material: AcMgCd2Pd
Method: DFT, PBE
State: relaxed

## Properties
**Calculated volume**: 251.7 Å³ per cell
**E_form**: -459 meV/atom
**DOS at the Fermi energy**: 6.12 states/eV per cell

The structure in CIF format:
```
data_AcMgCd2Pd
_chemical_formula_sum 'Ac2 Mg2 Cd4 Pd2'
_cell_length_a 4.116
_cell_length_b 4.528
_cell_length_c 13.508
_cell_angle_alpha 90.00
_cell_angle_beta 90.00
_cell_angle_gamma 90.00
_space_group_name_H-M_alt 'I m m 2'
_space_group_IT_number 44
_space_group_name_Hall 'I 2 -2'
loop_
_atom_site_label
_atom_site_fract_x
_atom_site_fract_y
_atom_site_fract_z
Ac1 0.000 0.000 0.000
Mg1 0.000 0.500 0.774
Cd1 0.000 0.000 0.625
Cd2 0.000 0.500 0.282
Pd1 0.000 0.000 0.416
```

Material: CaTcSe
Method: DFT, PBE
State: relaxed

## Properties
**Distance to the lowest polymorph of the same formula**: 0.04 eV/f.u.
**Calculated volume**: 140.8 Å³ per cell
**DOS at the Fermi energy**: 0.57 states/eV per cell
**Formation energy from raw total energies**: -2.2 eV per formula unit

The structure in CIF format:
```
data_CaTcSe
_chemical_formula_sum 'Ca2 Tc2 Se2'
_cell_length_a 4.1485
_cell_length_b 4.1485
_cell_length_c 9.4484
_cell_angle_alpha 90.00
_cell_angle_beta 90.00
_cell_angle_gamma 120.00
_space_group_name_H-M_alt 'P 3 m 1'
_space_group_IT_number 156
_space_group_name_Hall 'P 3 -2"'
loop_
_atom_site_label
_atom_site_fract_x
_atom_site_fract_y
_atom_site_fract_z
Ca1 0.0000 0.0000 0.0000
Ca2 0.3333 0.6667 0.3734
Tc1 0.0000 0.0000 0.6778
Tc2 0.3333 0.6667 0.7337
Se1 0.6667 0.3333 0.1854
Se2 0.6667 0.3333 0.5677
```

Material: YHfHg2Pd
Method: DFT, PBE
State: relaxed

## Properties
**Calculated volume**: 139.7 Å³ per cell
**E_form**: 286 meV/atom
**DOS at the Fermi energy**: 4.71 states/eV per cell

The structure in CIF format:
```
data_YHfHg2Pd
_chemical_formula_sum 'Y1 Hf1 Hg2 Pd1'
_cell_length_a 5.379
_cell_length_b 5.379
_cell_length_c 4.827
_cell_angle_alpha 90.00
_cell_angle_beta 90.00
_cell_angle_gamma 90.00
_space_group_name_H-M_alt 'P 4/m m m'
_space_group_IT_number 123
_space_group_name_Hall '-P 4 2'
loop_
_atom_site_label
_atom_site_fract_x
_atom_site_fract_y
_atom_site_fract_z
Y1 0.000 0.000 0.000
Hf1 0.500 0.500 0.500
Hg1 0.000 0.500 0.500
Pd1 0.500 0.500 0.000
```

Material: NaCuCl2F
Method: DFT, PBE
State: relaxed

## Properties
**Distance to the lowest polymorph of the same formula**: 0.03 eV/f.u.
**Calculated volume**: 91.4 Å³ per cell
**DOS at the Fermi energy**: 0.83 states/eV per cell
**Formation energy from raw total energies**: -6.5 eV per formula unit

The structure in CIF format:
```
data_NaCuCl2F
_chemical_formula_sum 'Na1 Cu1 Cl2 F1'
_cell_length_a 4.832
_cell_length_b 4.832
_cell_length_c 3.916
_cell_angle_alpha 90.00
_cell_angle_beta 90.00
_cell_angle_gamma 90.00
_space_group_name_H-M_alt 'P 4/m m m'
_space_group_IT_number 123
_space_group_name_Hall '-P 4 2'
loop_
_atom_site_label
_atom_site_fract_x
_atom_site_fract_y
_atom_site_fract_z
Na1 0.000 0.000 0.000
Cu1 0.500 0.500 0.500
Cl1 0.000 0.500 0.500
F1 0.500 0.500 0.000
```

Material: Nd2SmTaN4
Method: DFT, PBE
State: relaxed

## Properties
**Calculated volume**: 473.1 Å³ per cell
**DOS at the Fermi energy**: 7.43 states/eV per cell
**Formation energy from raw total energies**: -10.4 eV per formula unit

The structure in CIF format:
```
data_Nd2SmTaN4
_chemical_formula_sum 'Nd8 Sm4 Ta4 N16'
_cell_length_a 6.870
_cell_length_b 7.027
_cell_length_c 9.800
_cell_angle_alpha 90.00
_cell_angle_beta 90.00
_cell_angle_gamma 90.00
_space_group_name_H-M_alt 'I m m a'
_space_group_IT_number 74
_space_group_name_Hall '-I 2b 2'
loop_
_atom_site_label
_atom_site_fract_x
_atom_site_fract_y
_atom_site_fract_z
Nd1 0.000 0.000 0.000
Nd2 0.250 0.250 0.250
Sm1 0.000 0.000 0.500
Ta1 0.250 0.250 0.750
N1 0.000 0.037 0.749
N2 0.247 0.250 0.528
```

Material: CuSeCl2
Method: DFT, PBE
State: relaxed

## Properties
**Distance to the lowest polymorph of the same formula**: 3.49 eV/f.u.
**Calculated volume**: 323.4 Å³ per cell
**DOS at the Fermi energy**: 21.81 states/eV per cell
**Formation energy from raw total energies**: 2.3 eV per formula unit

The structure in CIF format:
```
data_CuSeCl2
_chemical_formula_sum 'Cu4 Se4 Cl8'
_cell_length_a 6.864
_cell_length_b 6.864
_cell_length_c 6.864
_cell_angle_alpha 90.00
_cell_angle_beta 90.00
_cell_angle_gamma 90.00
_space_group_name_H-M_alt 'F m -3 m'
_space_group_IT_number 225
_space_group_name_Hall '-F 4 2 3'
loop_
_atom_site_label
_atom_site_fract_x
_atom_site_fract_y
_atom_site_fract_z
Cu1 0.000 0.000 0.000
Se1 0.000 0.000 0.500
Cl1 0.250 0.250 0.250
```

Material: CsPdN2
Method: DFT, PBE
State: relaxed

## Properties
**Distance to the lowest polymorph of the same formula**: 5.16 eV/f.u.
**Calculated volume**: 362.2 Å³ per cell
**DOS at the Fermi energy**: 8.81 states/eV per cell
**Formation energy from raw total energies**: 5.5 eV per formula unit

The structure in CIF format:
```
data_CsPdN2
_chemical_formula_sum 'Cs3 Pd3 N6'
_cell_length_a 4.4121
_cell_length_b 4.4121
_cell_length_c 21.4878
_cell_angle_alpha 90.00
_cell_angle_beta 90.00
_cell_angle_gamma 120.00
_space_group_name_H-M_alt 'R -3 m'
_space_group_IT_number 166
_space_group_name_Hall '-R 3 2"'
loop_
_atom_site_label
_atom_site_fract_x
_atom_site_fract_y
_atom_site_fract_z
Cs1 0.0000 0.0000 0.0000
Pd1 0.0000 0.0000 0.5000
N1 0.0000 0.0000 0.4174
```

Material: Na10B17C3
Method: DFT, PBE
State: relaxed

## Properties
**Distance to the lowest polymorph of the same formula**: 0.73 eV/f.u.
**Calculated volume**: 656.2 Å³ per cell
**E_form**: 229 meV/atom
**DOS at the Fermi energy**: 17.68 states/eV per cell

The structure in CIF format:
```
data_Na10B17C3
_chemical_formula_sum 'Na20 B34 C6'
_cell_length_a 8.603
_cell_length_b 2.943
_cell_length_c 25.919
_cell_angle_alpha 90.00
_cell_angle_beta 90.00
_cell_angle_gamma 90.00
_space_group_name_H-M_alt 'A m m 2'
_space_group_IT_number 38
_space_group_name_Hall 'A 2 -2'
loop_
_atom_site_label
_atom_site_fract_x
_atom_site_fract_y
_atom_site_fract_z
Na1 0.247 0.000 0.000
Na2 0.247 0.000 0.201
Na3 0.249 0.000 0.600
Na4 0.249 0.000 0.801
Na5 0.250 0.000 0.400
B1 0.000 0.000 0.071
B2 0.000 0.000 0.274
B3 0.000 0.000 0.461
B4 0.000 0.000 0.532
B5 0.000 0.000 0.665
B6 0.000 0.000 0.734
B7 0.000 0.000 0.867
B8 0.500 0.000 0.067
B9 0.500 0.000 0.134
B10 0.500 0.000 0.266
B11 0.500 0.000 0.334
B12 0.500 0.000 0.466
B13 0.500 0.000 0.534
B14 0.500 0.000 0.666
B15 0.500 0.000 0.734
B16 0.500 0.000 0.866
B17 0.500 0.000 0.934
C1 0.000 0.000 0.134
C2 0.000 0.000 0.336
C3 0.000 0.000 0.931
```

Material: Cs6K5Rb5
Method: DFT, PBE
State: relaxed

## Properties
**Calculated volume**: 3045.9 Å³ per cell
**E_form**: 31 meV/atom
**DOS at the Fermi energy**: 29.68 states/eV per cell

The structure in CIF format:
```
data_Cs6K5Rb5
_chemical_formula_sum 'Cs12 K10 Rb10'
_cell_length_a 9.033
_cell_length_b 23.908
_cell_length_c 14.104
_cell_angle_alpha 90.00
_cell_angle_beta 90.00
_cell_angle_gamma 90.00
_space_group_name_H-M_alt 'A m m 2'
_space_group_IT_number 38
_space_group_name_Hall 'A 2 -2'
loop_
_atom_site_label
_atom_site_fract_x
_atom_site_fract_y
_atom_site_fract_z
Cs1 0.000 0.000 0.000
Cs2 0.000 0.198 0.618
Cs3 0.500 0.000 0.809
Cs4 0.500 0.205 0.209
K1 0.000 0.000 0.626
K2 0.250 0.169 0.917
Rb1 0.000 0.107 0.304
Rb2 0.500 0.000 0.185
Rb3 0.500 0.106 0.514
```

Material: Tb6SiP2Se3
Method: DFT, PBE
State: relaxed

## Properties
**Calculated volume**: 581.7 Å³ per cell
**DOS at the Fermi energy**: 7.45 states/eV per cell
**Formation energy from raw total energies**: -19.7 eV per formula unit

The structure in CIF format:
```
data_Tb6SiP2Se3
_chemical_formula_sum 'Tb12 Si2 P4 Se6'
_cell_length_a 17.903
_cell_length_b 4.075
_cell_length_c 8.219
_cell_angle_alpha 90.00
_cell_angle_beta 104.06
_cell_angle_gamma 90.00
_space_group_name_H-M_alt 'C 1 2/m 1'
_space_group_IT_number 12
_space_group_name_Hall '-C 2y'
loop_
_atom_site_label
_atom_site_fract_x
_atom_site_fract_y
_atom_site_fract_z
Tb1 0.004 0.000 0.242
Tb2 0.163 0.500 0.094
Tb3 0.171 0.500 0.572
Si1 0.000 0.500 0.000
P1 0.167 0.000 0.335
Se1 0.000 0.500 0.500
Se2 0.167 0.000 0.832
```

Material: NbZnCu2
Method: DFT, PBE
State: relaxed

## Properties
**Calculated volume**: 174.4 Å³ per cell
**E_form**: 100 meV/atom
**DOS at the Fermi energy**: 6.98 states/eV per cell

The structure in CIF format:
```
data_NbZnCu2
_chemical_formula_sum 'Nb3 Zn3 Cu6'
_cell_length_a 2.7555
_cell_length_b 2.7555
_cell_length_c 26.5306
_cell_angle_alpha 90.00
_cell_angle_beta 90.00
_cell_angle_gamma 120.00
_space_group_name_H-M_alt 'R -3 m'
_space_group_IT_number 166
_space_group_name_Hall '-R 3 2"'
loop_
_atom_site_label
_atom_site_fract_x
_atom_site_fract_y
_atom_site_fract_z
Nb1 0.0000 0.0000 0.0000
Zn1 0.0000 0.0000 0.5000
Cu1 0.0000 0.0000 0.2456
```

Material: Li2NdAu6
Method: DFT, PBE
State: relaxed

## Properties
**Calculated volume**: 363.4 Å³ per cell
**E_form**: -438 meV/atom
**DOS at the Fermi energy**: 8.48 states/eV per cell

The structure in CIF format:
```
data_Li2NdAu6
_chemical_formula_sum 'Li4 Nd2 Au12'
_cell_length_a 3.270
_cell_length_b 8.042
_cell_length_c 13.820
_cell_angle_alpha 90.00
_cell_angle_beta 90.00
_cell_angle_gamma 90.00
_space_group_name_H-M_alt 'I m m m'
_space_group_IT_number 71
_space_group_name_Hall '-I 2 2'
loop_
_atom_site_label
_atom_site_fract_x
_atom_site_fract_y
_atom_site_fract_z
Li1 0.000 0.000 0.142
Nd1 0.000 0.500 0.000
Au1 0.000 0.174 0.322
Au2 0.000 0.332 0.500
```

Material: SmGa12Pd4
Method: DFT, PBE
State: relaxed

## Properties
**Calculated volume**: 684.5 Å³ per cell
**E_form**: -263 meV/atom
**DOS at the Fermi energy**: 24.43 states/eV per cell

The structure in CIF format:
```
data_SmGa12Pd4
_chemical_formula_sum 'Sm2 Ga24 Pd8'
_cell_length_a 8.813
_cell_length_b 8.813
_cell_length_c 8.813
_cell_angle_alpha 90.00
_cell_angle_beta 90.00
_cell_angle_gamma 90.00
_space_group_name_H-M_alt 'I m -3'
_space_group_IT_number 204
_space_group_name_Hall '-I 2 2 3'
loop_
_atom_site_label
_atom_site_fract_x
_atom_site_fract_y
_atom_site_fract_z
Sm1 0.000 0.000 0.000
Ga1 0.000 0.347 0.152
Pd1 0.250 0.250 0.250
```

Material: ThZnGe2
Method: DFT, PBE
State: relaxed

## Properties
**Calculated volume**: 85.3 Å³ per cell
**E_form**: -416 meV/atom
**DOS at the Fermi energy**: 2.31 states/eV per cell

The structure in CIF format:
```
data_ThZnGe2
_chemical_formula_sum 'Th1 Zn1 Ge2'
_cell_length_a 4.493
_cell_length_b 4.493
_cell_length_c 4.223
_cell_angle_alpha 90.00
_cell_angle_beta 90.00
_cell_angle_gamma 90.00
_space_group_name_H-M_alt 'P 4/m m m'
_space_group_IT_number 123
_space_group_name_Hall '-P 4 2'
loop_
_atom_site_label
_atom_site_fract_x
_atom_site_fract_y
_atom_site_fract_z
Th1 0.000 0.000 0.000
Zn1 0.500 0.500 0.000
Ge1 0.000 0.500 0.500
```

Material: TiP2PbO8
Method: DFT, PBE
State: relaxed

## Properties
**Calculated volume**: 666.9 Å³ per cell
**DOS at the Fermi energy**: 0.00 states/eV per cell
**Formation energy from raw total energies**: -28.1 eV per formula unit

The structure in CIF format:
```
data_TiP2PbO8
_chemical_formula_sum 'Ti4 P8 Pb4 O32'
_cell_length_a 17.018
_cell_length_b 5.222
_cell_length_c 8.392
_cell_angle_alpha 90.00
_cell_angle_beta 116.58
_cell_angle_gamma 90.00
_space_group_name_H-M_alt 'C 1 2/c 1'
_space_group_IT_number 15
_space_group_name_Hall '-C 2yc'
loop_
_atom_site_label
_atom_site_fract_x
_atom_site_fract_y
_atom_site_fract_z
Ti1 0.250 0.250 0.000
P1 0.144 0.237 0.256
Pb1 0.000 0.344 0.750
O1 0.050 0.294 0.113
O2 0.148 0.025 0.847
O3 0.170 0.454 0.399
O4 0.212 0.232 0.180
```

Material: MnCuP3
Method: DFT, PBE
State: relaxed

## Properties
**Distance to the lowest polymorph of the same formula**: 0.00 eV/f.u.
**Calculated volume**: 83.7 Å³ per cell
**E_form**: 635 meV/atom
**DOS at the Fermi energy**: 3.27 states/eV per cell

The structure in CIF format:
```
data_MnCuP3
_chemical_formula_sum 'Mn1 Cu1 P3'
_cell_length_a 4.374
_cell_length_b 4.374
_cell_length_c 4.374
_cell_angle_alpha 90.00
_cell_angle_beta 90.00
_cell_angle_gamma 90.00
_space_group_name_H-M_alt 'P m -3 m'
_space_group_IT_number 221
_space_group_name_Hall '-P 4 2 3'
loop_
_atom_site_label
_atom_site_fract_x
_atom_site_fract_y
_atom_site_fract_z
Mn1 0.000 0.000 0.000
Cu1 0.500 0.500 0.500
P1 0.000 0.000 0.500
```

Material: NaPmEuTl
Method: DFT, PBE
State: relaxed

## Properties
**Calculated volume**: 503.1 Å³ per cell
**E_form**: -107 meV/atom
**DOS at the Fermi energy**: 46.39 states/eV per cell

The structure in CIF format:
```
data_NaPmEuTl
_chemical_formula_sum 'Na4 Pm4 Eu4 Tl4'
_cell_length_a 7.954
_cell_length_b 7.954
_cell_length_c 7.954
_cell_angle_alpha 90.00
_cell_angle_beta 90.00
_cell_angle_gamma 90.00
_space_group_name_H-M_alt 'F -4 3 m'
_space_group_IT_number 216
_space_group_name_Hall 'F -4 2 3'
loop_
_atom_site_label
_atom_site_fract_x
_atom_site_fract_y
_atom_site_fract_z
Na1 0.000 0.000 0.000
Pm1 0.250 0.250 0.250
Eu1 0.250 0.250 0.750
Tl1 0.000 0.000 0.500
```

Material: Nb3VRu2
Method: DFT, PBE
State: relaxed

## Properties
**Calculated volume**: 191.6 Å³ per cell
**E_form**: -238 meV/atom
**DOS at the Fermi energy**: 6.05 states/eV per cell

The structure in CIF format:
```
data_Nb3VRu2
_chemical_formula_sum 'Nb6 V2 Ru4'
_cell_length_a 4.498
_cell_length_b 13.500
_cell_length_c 3.156
_cell_angle_alpha 90.00
_cell_angle_beta 90.00
_cell_angle_gamma 90.00
_space_group_name_H-M_alt 'C m m m'
_space_group_IT_number 65
_space_group_name_Hall '-C 2 2'
loop_
_atom_site_label
_atom_site_fract_x
_atom_site_fract_y
_atom_site_fract_z
Nb1 0.000 0.000 0.000
Nb2 0.000 0.338 0.000
V1 0.000 0.500 0.500
Ru1 0.000 0.168 0.500
```

Material: Sr2MnInSe
Method: DFT, PBE
State: relaxed

## Properties
**Distance to the lowest polymorph of the same formula**: 0.00 eV/f.u.
**Calculated volume**: 156.0 Å³ per cell
**DOS at the Fermi energy**: 7.00 states/eV per cell
**Formation energy from raw total energies**: -0.9 eV per formula unit

The structure in CIF format:
```
data_Sr2MnInSe
_chemical_formula_sum 'Sr2 Mn1 In1 Se1'
_cell_length_a 5.945
_cell_length_b 5.945
_cell_length_c 4.415
_cell_angle_alpha 90.00
_cell_angle_beta 90.00
_cell_angle_gamma 90.00
_space_group_name_H-M_alt 'P 4/m m m'
_space_group_IT_number 123
_space_group_name_Hall '-P 4 2'
loop_
_atom_site_label
_atom_site_fract_x
_atom_site_fract_y
_atom_site_fract_z
Sr1 0.000 0.500 0.000
Mn1 0.000 0.000 0.500
In1 0.500 0.500 0.500
Se1 0.000 0.000 0.000
```